# AcMgP2

An optimized crystal structure of AcMgP2 (PBE, the Alexandria database).

```
4
Lattice="2.170 1.253 5.972 -2.170 1.253 5.972 0.000 -2.505 5.972" Properties=species:S:1:pos:R:3 pbc="T T T"
Ac 0.000 0.000 0.000
Mg 0.000 0.000 8.959
P 0.000 0.000 4.215
P 0.000 0.000 13.702
```

Its formation energy from the elements is -0.77 eV per atom. The relative energy among the computed polymorphs comes out at 0 meV per atom. The calculation puts the density of states at the Fermi level at 4.23 states/eV/cell.